[1]
# MgCd3Cl8

A relaxed MgCd3Cl8 crystal (PBE, Alexandria via LeMat-Bulk).

Computed properties:
Mass density ... 3.3 g cm⁻³
D(E_F) ... 0.00 states/eV/atom
E_tot ... -2.868 eV per atom

Cell: 7.6944 7.6960 7.8338 Å, 119.94 90.00 119.99°
With the nearest neighbours (Å) after each atom.
Atoms (fractional coordinates):
Mg 0.0000 0.0000 0.0000  6 Cl 2.55
Cl 0.7564 0.9906 0.2213  1 Mg 2.55, 2 Cd 2.68
Cl 0.7435 0.4870 0.2268  3 Cd 2.65
Cl 0.7658 0.0094 0.7787  1 Mg 2.55, 2 Cd 2.68
Cl 0.2436 0.0094 0.7787  1 Mg 2.55, 2 Cd 2.68
Cl 0.2565 0.5130 0.7732  3 Cd 2.65
Cl 0.2342 0.4685 0.2213  1 Mg 2.55, 2 Cd 2.68
Cl 0.7658 0.5315 0.7787  1 Mg 2.55, 2 Cd 2.68
Cl 0.2342 0.9906 0.2213  1 Mg 2.55, 2 Cd 2.68
Cd 0.5000 0.5000 0.0000  6 Cl 2.65-2.68
Cd 0.5000 0.0000 0.0000  6 Cl 2.65-2.68
Cd 0.0000 0.5000 0.0000  6 Cl 2.65-2.68

[2]
# MgCdCl4

A relaxed MgCdCl4 crystal (PBE, Alexandria via LeMat-Bulk).

Computed properties:
Mass density ... 2.9 g cm⁻³
Excess energy over the best structure of this formula in the dataset ... 0.00 eV/f.u.
D(E_F) ... 0.00 states/eV/atom

Cell: 3.7765 7.5310 6.5900 Å, 116.50 90.00 104.52°
With the nearest neighbours (Å) after each atom.
Atoms (fractional coordinates):
Mg 0.5000 0.0000 0.5000  6 Cl 2.53-2.55
Cl 0.3897 0.7793 0.0698  1 Mg 2.53, 2 Cd 2.65
Cl 0.1075 0.2150 0.4561  2 Mg 2.55, 1 Cd 2.67
Cl 0.6103 0.2207 0.9302  1 Mg 2.53, 2 Cd 2.65
Cl 0.8925 0.7850 0.5439  2 Mg 2.55, 1 Cd 2.67
Cd 0.0000 0.0000 0.0000  6 Cl 2.65-2.67

[3]
# MgCdCl4

A relaxed MgCdCl4 crystal (PBE, Alexandria via LeMat-Bulk).

Computed properties:
Mass density ... 3.1 g cm⁻³
Excess energy over the best structure of this formula in the dataset ... 9.66 eV/f.u.
D(E_F) ... 0.63 states/eV/atom

Cell: 5.9755 5.9755 5.9755 Å, 60.00 60.00 60.00°
With the nearest neighbours (Å) after each atom.
Atoms (fractional coordinates):
Cl 0.3751 0.3751 0.3751  6 Cl 2.99
Cl 0.3751 0.3751 0.8748  6 Cl 2.99
Cl 0.8748 0.3751 0.3751  6 Cl 2.99
Cl 0.3751 0.8748 0.3751  6 Cl 2.99
Mg 0.7500 0.7500 0.7500  12 Cl 3.50, 4 Cd 3.66
Cd 0.0000 0.0000 0.0000  12 Cl 3.50, 4 Mg 3.66

[4]
# MgCd2Cl

A relaxed MgCd2Cl crystal (PBE, Alexandria via LeMat-Bulk).

Computed properties:
Mass density ... 4.8 g cm⁻³
Excess energy over the best structure of this formula in the dataset ... 0.75 eV/f.u.
D(E_F) ... 0.42 states/eV/atom

Cell: 6.4597 6.4597 6.4597 Å, 142.84 142.84 53.57°
With the nearest neighbours (Å) after each atom.
Atoms (fractional coordinates):
Cl 0.2500 0.7500 0.5000  4 Mg 2.91
Mg 0.7500 0.2500 0.5000  4 Cl 2.91
Cd 0.5000 0.5000 0.0000  4 Cd 2.91
Cd 0.0000 0.0000 0.0000  4 Cd 2.91

[5]
# Na2MgCdCl6

A relaxed Na2MgCdCl6 crystal (PBE, Alexandria via LeMat-Bulk).

Computed properties:
Mass density ... 2.7 g cm⁻³
D(E_F) ... 0.00 states/eV/atom
E_tot ... -3.202 eV per atom

Cell: 6.8350 6.8349 7.1595 Å, 61.47 61.48 59.96°
With the nearest neighbours (Å) after each atom.
Atoms (fractional coordinates):
Cl 0.1885 0.9441 0.2684  1 Mg 2.59, 1 Cd 2.62, 2 Na 2.76-2.89
Cl 0.0822 0.4605 0.7573  1 Mg 2.51, 1 Cd 2.74, 1 Na 2.78
Cl 0.9442 0.5990 0.2684  1 Mg 2.59, 1 Cd 2.63, 2 Na 2.76-2.89
Cl 0.5990 0.1886 0.2684  1 Mg 2.59, 1 Cd 2.63, 2 Na 2.77-2.89
Cl 0.4603 0.7001 0.7573  1 Mg 2.51, 1 Cd 2.74, 1 Na 2.78
Cl 0.7002 0.0821 0.7573  1 Mg 2.51, 1 Cd 2.74, 1 Na 2.78
Cd 0.3184 0.3180 0.0452  6 Cl 2.62-2.74
Na 0.0260 0.0262 0.9220  6 Cl 2.78-2.89
Na 0.5226 0.5225 0.4327  6 Cl 2.76-2.88
Mg 0.8203 0.8204 0.5382  6 Cl 2.51-2.59

[6]
# Mg2CdOsCl

A relaxed Mg2CdOsCl crystal (PBE, Alexandria via LeMat-Bulk).

Computed properties:
Mass density ... 6.3 g cm⁻³
D(E_F) ... 0.78 states/eV/atom
E_tot ... -2.762 eV per atom

Cell: 4.7561 4.4970 4.7561 Å, 90.00 90.00 90.00°
With the nearest neighbours (Å) after each atom.
Atoms (fractional coordinates):
Mg 0.0000 0.0000 0.5000  2 Cl 2.38
Mg 0.5000 0.0000 0.0000  2 Cl 2.38
Cd 0.5000 0.5000 0.5000  8 Mg 3.27, 4 Os 3.36
Cl 0.0000 0.0000 0.0000  2 Os 2.25, 4 Mg 2.38
Os 0.0000 0.5000 0.0000  2 Cl 2.25

[7]
# RbMg2CdCl8

A relaxed RbMg2CdCl8 crystal (PBE, Alexandria via LeMat-Bulk).

Computed properties:
Mass density ... 2.5 g cm⁻³
D(E_F) ... 1.47 states/eV/atom
E_tot ... -3.056 eV per atom

Cell: 6.6690 6.6690 9.2100 Å, 90.00 90.00 120.00°
With the nearest neighbours (Å) after each atom.
Atoms (fractional coordinates):
Cl 0.6862 0.6802 0.6723  1 Mg 2.36
Cl 0.0059 0.6862 0.3277  1 Mg 2.36
Cl 0.6802 0.9941 0.3277  1 Mg 2.36
Cl 0.9941 0.3138 0.6723  1 Mg 2.36
Cl 0.6667 0.3333 0.0181  1 Mg 2.38
Cl 0.3198 0.0059 0.6723  1 Mg 2.36
Cl 0.3138 0.3198 0.3277  1 Mg 2.36
Cl 0.3333 0.6667 0.9819  1 Mg 2.38
Mg 0.6667 0.3333 0.2761  4 Cl 2.36-2.38
Mg 0.3333 0.6667 0.7239  4 Cl 2.36-2.38
Rb 0.0000 0.0000 0.0000  12 Cl 3.68-3.85
Cd 0.0000 0.0000 0.5000  6 Cl 2.64

[8]
# MgCdRuCl2

A relaxed MgCdRuCl2 crystal (PBE, Alexandria via LeMat-Bulk).

Computed properties:
Mass density ... 3.0 g cm⁻³
D(E_F) ... 1.63 states/eV/atom
E_tot ... -2.348 eV per atom

Cell: 4.8551 7.2280 4.8551 Å, 90.00 90.00 90.00°
With the nearest neighbours (Å) after each atom.
Atoms (fractional coordinates):
Cl 0.0000 0.0000 0.5000  2 Cd 2.43
Cl 0.5000 0.0000 0.0000  2 Cd 2.43
Mg 0.0000 0.5000 0.0000  4 Ru 3.43, 2 Cd 3.61
Cd 0.0000 0.0000 0.0000  4 Cl 2.43
Ru 0.5000 0.5000 0.5000  4 Mg 3.43

[9]
# Mg2CdRuCl

A relaxed Mg2CdRuCl crystal (PBE, Alexandria via LeMat-Bulk).

Computed properties:
Mass density ... 4.0 g cm⁻³
D(E_F) ... 0.63 states/eV/atom
E_tot ... -2.842 eV per atom

Cell: 5.1913 4.5502 5.1913 Å, 90.00 90.00 90.00°
With the nearest neighbours (Å) after each atom.
Atoms (fractional coordinates):
Cl 0.0000 0.5000 0.0000  2 Ru 2.28
Mg 0.0000 0.0000 0.5000  2 Ru 2.60
Mg 0.5000 0.0000 0.0000  2 Ru 2.60
Ru 0.0000 0.0000 0.0000  2 Cl 2.28
Cd 0.5000 0.5000 0.5000  8 Mg 3.45, 4 Cl 3.67

[10]
# MgCdSCl2

A relaxed MgCdSCl2 crystal (PBE, Alexandria via LeMat-Bulk).

Computed properties:
Mass density ... 3.4 g cm⁻³
Excess energy over the best structure of this formula in the dataset ... 0.00 eV/f.u.
D(E_F) ... 0.13 states/eV/atom

Cell: 4.6819 5.3483 4.6819 Å, 90.00 90.00 90.00°
With the nearest neighbours (Å) after each atom.
Atoms (fractional coordinates):
Cd 0.5000 0.5000 0.5000  4 S 3.31, 8 Cl 3.55
Cl 0.0000 0.0000 0.5000  2 Mg 2.34
Cl 0.5000 0.0000 0.0000  2 Mg 2.34
Mg 0.0000 0.0000 0.0000  4 Cl 2.34
S 0.0000 0.5000 0.0000  2 Mg 2.67

[11]
# MgCdS2Cl

A relaxed MgCdS2Cl crystal (PBE, Alexandria via LeMat-Bulk).

Computed properties:
Mass density ... 3.4 g cm⁻³
Excess energy over the best structure of this formula in the dataset ... 0.00 eV/f.u.
D(E_F) ... 0.96 states/eV/atom

Cell: 4.8935 4.8935 4.7526 Å, 90.00 90.00 90.00°
With the nearest neighbours (Å) after each atom.
Atoms (fractional coordinates):
S 0.0000 0.5000 0.0000  2 Mg 2.45
S 0.5000 0.0000 0.0000  2 Mg 2.45
Mg 0.0000 0.0000 0.0000  2 Cl 2.38, 4 S 2.45
Cl 0.0000 0.0000 0.5000  2 Mg 2.38
Cd 0.5000 0.5000 0.5000  8 S 3.41, 4 Cl 3.46

[12]
# MgCdSCl2

A relaxed MgCdSCl2 crystal (PBE, Alexandria via LeMat-Bulk).

Computed properties:
Mass density ... 3.0 g cm⁻³
Excess energy over the best structure of this formula in the dataset ... 1.71 eV/f.u.
D(E_F) ... 0.09 states/eV/atom

Cell: 5.0121 5.0121 5.2792 Å, 90.00 90.00 90.00°
With the nearest neighbours (Å) after each atom.
Atoms (fractional coordinates):
Cd 0.0000 0.0000 0.0000  4 Cl 2.51, 2 S 2.64
Cl 0.0000 0.5000 0.0000  2 Cd 2.51
Cl 0.5000 0.0000 0.0000  2 Cd 2.51
Mg 0.5000 0.5000 0.5000  4 S 3.54, 8 Cl 3.64
S 0.0000 0.0000 0.5000  2 Cd 2.64

- The highest D(E_F) belongs to which entry?
  MgCdRuCl2

- D(E_F) of number 11 (MgCdS2Cl)?
  0.96 states/eV/atom